# K2IrPb2

A geometry-optimized K2IrPb2 structure (PBE-GGA, Alexandria). Values from VASP.

Cell and atoms, written as Quantum ESPRESSO input:
```
&SYSTEM
  ibrav = 0, nat = 5, ntyp = 3
/
ATOMIC_SPECIES
Pb 207.20 Pb.upf
K 39.10 K.upf
Ir 192.22 Ir.upf
ATOMIC_POSITIONS crystal
Pb 0.7500 0.2500 0.5000
Pb 0.2500 0.7500 0.5000
K 0.4161 0.4161 0.1678
K 0.5839 0.5839 0.8322
Ir 0.0000 0.0000 0.0000
CELL_PARAMETERS angstrom
4.3511 0.0000 0.0000
0.0000 4.3511 0.0000
2.1755 2.1755 10.3340
```

Energy = -2.9319 eV per atom
Offset from the most stable computed form = 634 meV per atom
Space group = I4/mmm
Spin magnetization = 1.7 μB per formula unit